Li2CdMo: optimized geometry, PBE.

Cell and atoms, written as POSCAR:
```
Li2CdMo
1.0
2.618 0.000 0.000
0.000 4.542 0.000
0.000 0.000 5.774
Li Cd Mo
2 1 1
direct
0.000 0.000 0.000
0.500 0.500 0.250
0.500 0.500 0.736
0.000 0.000 0.498
```

- space group = Pmm2, No. 25
- uncorrected energy (eV per atom) = -3.55
- formation energy (eV per atom) = 0.344
- volume (Å³/f.u.) = 68.7